Entry 1:
A plane-wave DFT calculation with PBE was carried out for a relaxed structure of YTl2F.

a b c (Å): 10.0941 10.0941 7.4713
angles (deg): 47.50 47.50 90.00
Atoms (fractional coordinates):
Y (0.0000, 0.0000, 0.0000)
Tl (0.3750, 0.4812, 0.7500)
F (0.5000, 0.5000, 0.0000)
Tl (0.2312, 0.6250, 0.2500)
Tl (0.5188, 0.1250, 0.2500)
F (0.2500, 0.7500, 0.5000)
Y (0.7500, 0.2500, 0.5000)
Tl (0.8750, 0.7688, 0.7500)

Results
Formation energy (no corrections)   -1037.2 meV per atom
Energy above the lowest structure with this stoichiometry   0.000 eV/atom
V   28.12 Å³/atom
M_tot   0.00 μB/f.u.



Entry 2:
A plane-wave DFT calculation with PBE was carried out for a relaxed structure of YTlF6.

a b c (Å): 5.5793 5.5793 10.5177
angles (deg): 90.00 90.00 120.00
Atoms (fractional coordinates):
F (0.6667, 0.9607, 0.3756)
F (0.7060, 0.6667, 0.6244)
F (0.9607, 0.6667, 0.8756)
Tl (0.0000, 0.0000, 0.0000)
Tl (0.0000, 0.0000, 0.5000)
Y (0.3333, 0.6667, 0.2500)
F (0.0393, 0.3333, 0.1244)
Y (0.6667, 0.3333, 0.7500)
F (0.2940, 0.9607, 0.1244)
F (0.7060, 0.0393, 0.8756)
F (0.9607, 0.2940, 0.6244)
F (0.6667, 0.7060, 0.1244)
F (0.3333, 0.0393, 0.6244)
F (0.2940, 0.3333, 0.3756)
F (0.0393, 0.7060, 0.3756)
F (0.3333, 0.2940, 0.8756)

Results
Formation energy (no corrections)   -2935.4 meV per atom
V   17.72 Å³/atom
M_tot   0.16 μB/f.u.



Entry 3:
A plane-wave DFT calculation with PBE was carried out for a relaxed structure of YTlF.

a b c (Å): 3.9507 3.9507 8.0566
angles (deg): 90.00 90.00 90.00
Each line ends with the local moment (μB).
Atoms (fractional coordinates):
Tl (0.0000, 0.5000, 0.4072)  0.01
F (0.5000, 0.5000, 0.0000)  0.00
Tl (0.5000, 0.0000, 0.5928)  0.01
F (0.0000, 0.0000, 0.0000)  0.00
Y (0.0000, 0.5000, 0.8176)  0.07
Y (0.5000, 0.0000, 0.1824)  0.07

Results
Formation energy (no corrections)   -1803.1 meV per atom
V   20.96 Å³/atom
M_tot   0.16 μB/f.u.



Entry 4:
A plane-wave DFT calculation with PBE was carried out for a relaxed structure of YTlF2.

a b c (Å): 9.5087 9.5087 9.5087
angles (deg): 20.81 20.81 20.81
Atoms (fractional coordinates):
F (0.8783, 0.8783, 0.8783)
Tl (0.0000, 0.0000, 0.0000)
F (0.1217, 0.1217, 0.1217)
Y (0.5000, 0.5000, 0.5000)

Results
Formation energy (no corrections)   -2260.6 meV per atom
Energy above the lowest structure with this stoichiometry   0.103 eV/atom
V   23.75 Å³/atom
M_tot   0.00 μB/f.u.



Entry 5:
A plane-wave DFT calculation with PBE was carried out for a relaxed structure of YTl2F11.

a b c (Å): 8.3223 8.6178 8.6178
angles (deg): 73.61 61.13 61.13
Each line ends with the local moment (μB).
Atoms (fractional coordinates):
Y (0.7500, 0.7500, 0.7500)  -0.01
F (0.5432, 0.0267, 0.6819)  0.14
F (0.8962, 0.8112, 0.1888)  0.24
F (0.6591, 0.7054, 0.5609)  0.11
F (0.3962, 0.6888, 0.3112)  0.24
F (0.0000, 0.0000, 0.0000)  0.50
F (0.5747, 0.2054, 0.0609)  0.11
F (0.9568, 0.8181, 0.4733)  0.14
F (0.2482, 0.5267, 0.1819)  0.14
F (0.1591, 0.0609, 0.2054)  0.11
F (0.8409, 0.9391, 0.7946)  0.11
F (0.5000, 0.5000, 0.5000)  0.50
Tl (0.6673, 0.6920, 0.3080)  -0.01
F (0.6038, 0.3112, 0.6888)  0.24
F (0.7482, 0.6819, 0.0267)  0.14
Y (0.2500, 0.2500, 0.2500)  -0.01
F (0.2518, 0.3181, 0.9733)  0.14
Tl (0.8327, 0.1920, 0.8080)  -0.01
F (0.4568, 0.9733, 0.3181)  0.14
Tl (0.3327, 0.3080, 0.6920)  -0.01
Tl (0.1673, 0.8080, 0.1920)  -0.01
F (0.3409, 0.2946, 0.4391)  0.11
F (0.9253, 0.4391, 0.2946)  0.11
F (0.7518, 0.4733, 0.8181)  0.14
F (0.0747, 0.5609, 0.7054)  0.11
F (0.1038, 0.1888, 0.8112)  0.24
F (0.4253, 0.7946, 0.9391)  0.11
F (0.0432, 0.1819, 0.5267)  0.14

Results
Formation energy (no corrections)   -2099.4 meV per atom
V   16.89 Å³/atom
M_tot   2.18 μB/f.u.



Entry 6:
A plane-wave DFT calculation with PBE was carried out for a relaxed structure of YTl2F4.

a b c (Å): 4.4558 4.4558 9.2930
angles (deg): 76.13 76.13 90.00
Atoms (fractional coordinates):
Y (0.0000, 0.0000, 0.0000)
F (0.0000, 0.5000, 0.0000)
F (0.5000, 0.0000, 0.0000)
Tl (0.7368, 0.7368, 0.5263)
F (0.8756, 0.8756, 0.2487)
F (0.1244, 0.1244, 0.7513)
Tl (0.2632, 0.2632, 0.4737)

Results
Formation energy (no corrections)   -2749.1 meV per atom
V   24.80 Å³/atom
M_tot   0.00 μB/f.u.



Entry 7:
A plane-wave DFT calculation with PBE was carried out for a relaxed structure of YTl2Zn3F12.

a b c (Å): 6.7907 6.7907 6.7907
angles (deg): 67.77 67.77 67.77
Atoms (fractional coordinates):
F (0.1522, 0.5810, 0.1522)
F (0.7549, 0.7549, 0.1090)
F (0.5810, 0.1522, 0.1522)
F (0.8478, 0.4190, 0.8478)
F (0.8910, 0.2451, 0.2451)
Tl (0.6076, 0.6076, 0.6076)
F (0.2451, 0.8910, 0.2451)
Zn (0.0000, 0.5000, 0.0000)
Tl (0.3924, 0.3924, 0.3924)
F (0.1522, 0.1522, 0.5810)
Zn (0.5000, 0.0000, 0.0000)
Zn (0.0000, 0.0000, 0.5000)
F (0.1090, 0.7549, 0.7549)
Y (0.0000, 0.0000, 0.0000)
F (0.7549, 0.1090, 0.7549)
F (0.4190, 0.8478, 0.8478)
F (0.2451, 0.2451, 0.8910)
F (0.8478, 0.8478, 0.4190)

Results
Formation energy (no corrections)   -2465.9 meV per atom
V   14.33 Å³/atom
M_tot   0.00 μB/f.u.



Entry 8:
A plane-wave DFT calculation with PBE was carried out for a relaxed structure of TlZn2F.

a b c (Å): 7.7404 7.7404 6.0754
angles (deg): 50.43 50.43 90.00
Atoms (fractional coordinates):
Tl (0.7500, 0.2500, 0.5000)
Zn (0.3750, 0.4165, 0.7500)
Tl (0.0000, 0.0000, 0.0000)
Zn (0.8750, 0.8335, 0.7500)
Zn (0.5835, 0.1250, 0.2500)
F (0.2500, 0.7500, 0.5000)
F (0.5000, 0.5000, 0.0000)
Zn (0.1665, 0.6250, 0.2500)

Results
Formation energy (no corrections)   -530.9 meV per atom
Energy above the lowest structure with this stoichiometry   0.000 eV/atom
V   19.75 Å³/atom
M_tot   0.00 μB/f.u.



Listing electronic total energy for the structures above in their given order: -17.2 -43.5 -16.1 -21.6 -61.2 -37.9 -81.9 -8.9 eV per formula unit.